A geometry-optimized Pr2HoMg6 structure. Source: Alexandria via LeMat-Bulk, functional PBE.

- E_form: -90.5 meV per atom
- Final energy: -2.72 eV per atom
- Density: 4.0 g/cm3

a b c (Å): 9.189 9.189 3.340
angles (deg): 90.00 90.00 120.00
Atoms (fractional coordinates):
Pr 0.333 0.667 0.000
Pr 0.667 0.333 0.000
Ho 0.000 0.000 0.000
Mg 0.000 0.329 0.500
Mg 0.000 0.671 0.500
Mg 0.329 0.000 0.500
Mg 0.329 0.329 0.500
Mg 0.671 0.000 0.500
Mg 0.671 0.671 0.500

***

A geometry-optimized Pr2Ho8Mg structure. Source: Alexandria via LeMat-Bulk, functional PBE.

- Energy above the lowest structure with this stoichiometry: 0.00 eV/f.u.
- E_form: 112.6 meV per atom
- Final energy: -4.23 eV per atom
- Density: 7.6 g/cm3

a b c (Å): 9.567 9.567 9.567
angles (deg): 146.53 132.31 59.52
Atoms (fractional coordinates):
Pr 0.196 0.196 0.000
Pr 0.804 0.804 0.000
Ho 0.086 0.365 0.721
Ho 0.228 0.000 0.228
Ho 0.328 0.828 0.500
Ho 0.355 0.635 0.721
Ho 0.645 0.365 0.279
Ho 0.672 0.172 0.500
Ho 0.772 0.000 0.772
Ho 0.914 0.635 0.279
Mg 0.500 0.500 0.000

***

A geometry-optimized PrHoMg4 structure. Source: Alexandria via LeMat-Bulk, functional PBE.

- Energy above the lowest structure with this stoichiometry: 0.23 eV/f.u.
- E_form: -45.9 meV per atom
- Final energy: -2.67 eV per atom
- Density: 4.2 g/cm3

a b c (Å): 7.180 7.180 6.878
angles (deg): 103.82 103.82 27.74
Atoms (fractional coordinates):
Pr 0.000 0.000 0.000
Ho 0.000 0.000 0.500
Mg 0.322 0.322 0.167
Mg 0.325 0.325 0.657
Mg 0.675 0.675 0.343
Mg 0.678 0.678 0.833

***

A geometry-optimized PrHo3Mg structure. Source: Alexandria via LeMat-Bulk, functional PBE.

- Energy above the lowest structure with this stoichiometry: 0.28 eV/f.u.
- E_form: 42.8 meV per atom
- Final energy: -3.98 eV per atom
- Density: 7.1 g/cm3

a b c (Å): 9.932 9.932 6.522
angles (deg): 100.92 100.92 81.32
Atoms (fractional coordinates):
Pr 0.024 0.178 0.453
Pr 0.178 0.024 0.953
Pr 0.822 0.976 0.047
Pr 0.976 0.822 0.547
Ho 0.096 0.707 0.041
Ho 0.124 0.490 0.361
Ho 0.222 0.373 0.855
Ho 0.293 0.904 0.459
Ho 0.373 0.222 0.355
Ho 0.490 0.124 0.861
Ho 0.510 0.876 0.139
Ho 0.627 0.778 0.645
Ho 0.707 0.096 0.541
Ho 0.778 0.627 0.145
Ho 0.876 0.510 0.639
Ho 0.904 0.293 0.959
Mg 0.334 0.666 0.750
Mg 0.426 0.574 0.250
Mg 0.574 0.426 0.750
Mg 0.666 0.334 0.250

***

A geometry-optimized Pr9HoMg2 structure. Source: Alexandria via LeMat-Bulk, functional PBE.

- E_form: -5.0 meV per atom
- Final energy: -4.24 eV per atom
- Density: 6.1 g/cm3

a b c (Å): 5.107 5.107 15.387
angles (deg): 90.00 90.00 90.00
Atoms (fractional coordinates):
Pr 0.000 0.000 0.000
Pr 0.000 0.000 0.335
Pr 0.000 0.000 0.665
Pr 0.000 0.500 0.170
Pr 0.000 0.500 0.500
Pr 0.000 0.500 0.830
Pr 0.500 0.000 0.170
Pr 0.500 0.000 0.500
Pr 0.500 0.000 0.830
Ho 0.500 0.500 0.000
Mg 0.500 0.500 0.337
Mg 0.500 0.500 0.663

***

A geometry-optimized Pr6HoMg structure. Source: Alexandria via LeMat-Bulk, functional PBE.

- Energy above the lowest structure with this stoichiometry: 0.11 eV/f.u.
- E_form: 11.0 meV per atom
- Final energy: -4.35 eV per atom
- Density: 6.3 g/cm3

a b c (Å): 8.846 8.120 6.281
angles (deg): 74.57 62.24 43.19
Atoms (fractional coordinates):
Pr 0.122 0.122 0.378
Pr 0.247 0.247 0.753
Pr 0.378 0.378 0.122
Pr 0.622 0.622 0.878
Pr 0.753 0.753 0.247
Pr 0.878 0.878 0.622
Ho 0.500 0.500 0.500
Mg 0.000 0.000 0.000

***

A geometry-optimized Pr2HoMg8 structure. Source: Alexandria via LeMat-Bulk, functional PBE.

- E_form: 30.4 meV per atom
- Final energy: -2.41 eV per atom
- Density: 3.6 g/cm3

a b c (Å): 8.788 8.788 8.788
angles (deg): 144.98 129.02 63.35
Atoms (fractional coordinates):
Pr 0.205 0.205 0.000
Pr 0.795 0.795 0.000
Ho 0.500 0.500 0.000
Mg 0.066 0.364 0.702
Mg 0.215 0.000 0.215
Mg 0.337 0.636 0.702
Mg 0.346 0.846 0.500
Mg 0.654 0.154 0.500
Mg 0.663 0.364 0.298
Mg 0.785 0.000 0.785
Mg 0.934 0.636 0.298

***

A geometry-optimized Pr2Ho7Mg2 structure. Source: Alexandria via LeMat-Bulk, functional PBE.

- E_form: 178.7 meV per atom
- Final energy: -3.89 eV per atom
- Density: 7.1 g/cm3

a b c (Å): 7.533 7.533 6.728
angles (deg): 104.77 104.77 99.04
Atoms (fractional coordinates):
Pr 0.145 0.855 0.000
Pr 0.855 0.145 0.000
Ho 0.000 0.000 0.500
Ho 0.074 0.578 0.304
Ho 0.331 0.331 0.017
Ho 0.422 0.926 0.696
Ho 0.578 0.074 0.304
Ho 0.669 0.669 0.983
Ho 0.926 0.422 0.696
Mg 0.345 0.345 0.534
Mg 0.655 0.655 0.466